Entry 1:
ScHgCl2 | Alexandria via LeMat-Bulk | PBE | optimized geometry; E above lowest polymorph = 2.840 eV per formula unit; formation energy (no corrections) = -0.679 eV/atom; symmetry = Cmmm, No. 65
1.0
0.040 -0.671 4.920
4.107 -2.556 -1.123
2.064 3.136 0.411
Cl Hg Sc
2 1 1
direct
0.500 0.500 0.000
0.000 0.000 0.000
0.500 0.000 0.500
0.000 0.500 0.500

---

Entry 2:
Np3Cu5S12 | Alexandria via LeMat-Bulk | PBE | optimized geometry; formation energy (no corrections) = -0.609 eV/atom; symmetry = Ia-3d, No. 230
1.0
-4.239 -2.016 -11.671
7.047 -9.762 3.647
-9.753 1.291 7.839
S Np Cu
48 12 20
direct
0.462 0.675 0.087
0.175 0.087 0.962
0.412 0.126 0.587
0.825 0.912 0.286
0.087 0.912 0.126
0.374 0.962 0.786
0.962 0.587 0.175
0.714 0.588 0.175
0.325 0.538 0.413
0.374 0.413 0.088
0.588 0.874 0.413
0.913 0.088 0.874
0.587 0.626 0.412
0.088 0.913 0.374
0.962 0.374 0.286
0.626 0.038 0.214
0.714 0.126 0.038
0.675 0.214 0.588
0.286 0.874 0.962
0.038 0.413 0.825
0.214 0.675 0.088
0.126 0.714 0.538
0.874 0.286 0.462
0.325 0.786 0.412
0.874 0.588 0.913
0.912 0.087 0.626
0.626 0.587 0.912
0.088 0.175 0.214
0.462 0.786 0.874
0.538 0.325 0.913
0.588 0.714 0.675
0.825 0.913 0.038
0.786 0.325 0.912
0.538 0.214 0.126
0.038 0.626 0.714
0.587 0.962 0.675
0.413 0.374 0.588
0.087 0.175 0.462
0.675 0.462 0.587
0.913 0.825 0.538
0.412 0.286 0.325
0.413 0.038 0.325
0.175 0.088 0.714
0.214 0.538 0.626
0.126 0.412 0.087
0.286 0.412 0.825
0.912 0.825 0.786
0.786 0.462 0.374
0.375 0.625 0.250
0.625 0.375 0.750
0.250 0.125 0.375
0.125 0.875 0.750
0.875 0.125 0.250
0.875 0.750 0.125
0.375 0.750 0.625
0.750 0.875 0.625
0.625 0.250 0.375
0.250 0.625 0.875
0.125 0.250 0.875
0.750 0.375 0.125
0.750 0.625 0.375
0.375 0.125 0.750
0.625 0.750 0.875
0.000 0.500 0.000
0.625 0.875 0.250
0.125 0.750 0.375
0.500 0.000 0.000
0.125 0.375 0.250
0.500 0.500 0.500
0.875 0.625 0.750
0.500 0.000 0.500
0.250 0.375 0.625
0.000 0.000 0.000
0.875 0.250 0.625
0.000 0.500 0.500
0.500 0.500 0.000
0.750 0.125 0.875
0.375 0.250 0.125
0.000 0.000 0.500
0.250 0.875 0.125

---

Entry 3:
TaW3C | Alexandria via LeMat-Bulk | PBE | optimized geometry; E above lowest polymorph = 17.389 eV per formula unit; symmetry = Pm-3m, No. 221; energy relative to the elements = 18.0 eV/f.u.
1.0
-4.772 0.042 -0.213
-0.115 -4.461 1.705
-0.184 1.708 4.457
W C Ta
3 1 1
direct
0.000 0.500 0.000
0.000 0.000 0.500
0.500 0.000 0.000
0.500 0.500 0.500
0.000 0.000 0.000

---

Entry 4:
HoPu2ScP4 | Alexandria via LeMat-Bulk | PBE | optimized geometry; symmetry = P2/m, No. 10; energy relative to the elements = -10.5 eV/f.u.
1.0
-3.867 0.747 0.254
-1.251 -6.670 0.570
0.924 2.691 6.153
P Pu Sc Ho
4 2 1 1
direct
0.500 0.758 0.757
0.500 0.242 0.243
0.000 0.757 0.248
0.000 0.243 0.752
0.000 0.500 0.500
0.500 0.000 0.500
0.000 0.000 0.000
0.500 0.500 0.000

---

Entry 5:
AcB4Ir4 | Alexandria via LeMat-Bulk | PBE | optimized geometry; E above lowest polymorph = 1.316 eV per formula unit; symmetry = P4_2/nmc, No. 137; energy relative to the elements = -3.4 eV/f.u.
1.0
-1.234 -0.611 -5.331
-0.112 -5.467 0.653
-7.462 0.354 1.687
B Ac Ir
8 2 8
direct
0.829 0.500 0.161
0.500 0.171 0.839
0.000 0.329 0.661
0.000 0.671 0.661
0.500 0.829 0.839
0.171 0.500 0.161
0.671 0.000 0.339
0.329 0.000 0.339
0.000 0.000 0.000
0.500 0.500 0.500
0.000 0.249 0.363
0.000 0.751 0.363
0.249 0.000 0.637
0.500 0.749 0.137
0.251 0.500 0.863
0.749 0.500 0.863
0.500 0.251 0.137
0.751 0.000 0.637

---

Entry 6:
Zr2FeB2 | Alexandria via LeMat-Bulk | PBE | optimized geometry; symmetry = P4/mbm, No. 127; energy relative to the elements = -2.9 eV/f.u.
1.0
6.080 0.000 0.000
0.000 6.080 0.000
0.000 0.000 3.448
Zr B Fe
4 4 2
direct
0.317 0.183 0.500
0.817 0.317 0.500
0.683 0.817 0.500
0.183 0.683 0.500
0.106 0.394 0.000
0.606 0.106 0.000
0.394 0.894 0.000
0.894 0.606 0.000
0.000 0.000 0.000
0.500 0.500 0.000

---

Entry 7:
CaBeReTc2 | Alexandria via LeMat-Bulk | PBE | optimized geometry; symmetry = P4/mmm, No. 123; energy relative to the elements = 4.9 eV/f.u.
1.0
-4.036 -2.494 0.113
1.481 -2.553 -3.447
1.958 -3.029 3.084
Tc Re Ca Be
2 1 1 1
direct
0.000 0.000 0.500
0.500 0.000 0.000
0.000 0.000 0.000
0.500 0.500 0.500
0.000 0.500 0.000

---

Entry 8:
Tb2ZrZn6 | Alexandria via LeMat-Bulk | PBE | optimized geometry; symmetry = P6/mmm, No. 191; energy relative to the elements = -3.0 eV/f.u.
1.0
-1.307 2.645 -1.642
5.991 -0.044 -4.841
-6.298 -4.125 -1.629
Zn Tb Zr
6 2 1
direct
0.500 0.327 0.000
0.500 0.000 0.673
0.500 0.673 0.673
0.500 0.327 0.327
0.500 0.000 0.327
0.500 0.673 0.000
0.000 0.333 0.667
0.000 0.667 0.333
0.000 0.000 0.000

---

Entry 9:
BaSnPdPt | Alexandria via LeMat-Bulk | PBE | optimized geometry; symmetry = R3m, No. 160; energy relative to the elements = -2.9 eV/f.u.
1.0
4.653 0.000 0.000
-2.326 4.029 -0.002
0.000 -2.681 5.638
Sn Pd Pt Ba
1 1 1 1
direct
0.119 0.239 0.000
0.419 0.838 0.898
0.813 0.626 0.081
0.615 0.230 0.488

---

Entry 10:
Na3Y3TcO8 | Alexandria via LeMat-Bulk | PBE | optimized geometry; formation energy (no corrections) = -2.490 eV/atom; symmetry = R-3m, No. 166
1.0
-2.131 5.962 -2.256
-1.206 -5.569 -3.565
-3.294 1.032 5.840
Na O Tc Y
3 8 1 3
direct
0.500 0.500 0.000
0.000 0.500 0.000
0.000 0.000 0.000
0.263 0.526 0.290
0.219 0.437 0.699
0.781 0.020 0.301
0.737 0.474 0.710
0.762 0.980 0.699
0.219 0.980 0.699
0.238 0.020 0.301
0.781 0.563 0.301
0.000 0.000 0.500
0.000 0.500 0.500
0.500 0.500 0.500
0.500 0.000 0.500

---

Entry 11:
MoPCCl2 | Alexandria via LeMat-Bulk | PBE | optimized geometry; E above lowest polymorph = 0.797 eV per formula unit; formation energy (no corrections) = 1.559 eV/atom; symmetry = P4/mmm, No. 123
1.0
-1.644 3.825 -0.019
-3.078 -1.310 2.478
2.243 0.980 3.304
Mo Cl P C
1 2 1 1
direct
0.500 0.500 0.500
0.500 0.000 0.000
0.000 0.500 0.000
0.000 0.000 0.500
0.000 0.000 0.000

---

Entry 12:
KAl3Ir | Alexandria via LeMat-Bulk | PBE | optimized geometry; E above lowest polymorph = 12.675 eV per formula unit; symmetry = Pm-3m, No. 221; energy relative to the elements = 11.4 eV/f.u.
1.0
-2.254 -4.564 0.123
3.446 -1.611 3.385
-2.995 1.581 3.802
K Al Ir
1 3 1
direct
0.000 0.000 0.000
0.000 0.000 0.500
0.000 0.500 0.000
0.500 0.000 0.000
0.500 0.500 0.500

---

Entry 13:
HoPaTeC | Alexandria via LeMat-Bulk | PBE | optimized geometry; formation energy (no corrections) = -0.771 eV/atom; symmetry = R3m, No. 160
1.0
-1.504 -3.360 0.875
3.209 1.126 1.659
-3.824 4.901 4.069
Ho C Te Pa
1 1 1 1
direct
0.510 0.153 0.678
0.315 0.555 0.885
0.967 0.381 0.363
0.087 0.941 0.043

---

Entry 14:
Tb4SmHo7 | Alexandria via LeMat-Bulk | PBE | optimized geometry; E above lowest polymorph = 0.000 eV per formula unit; symmetry = P-1, No. 2; energy relative to the elements = 1.0 eV/f.u.
1.0
6.006 -1.329 2.867
1.173 5.889 2.471
2.686 -1.905 11.230
Ho Tb Sm
7 4 1
direct
0.282 0.810 0.612
0.199 0.484 0.051
0.500 0.000 0.000
0.941 0.683 0.359
0.718 0.190 0.388
0.059 0.317 0.641
0.801 0.516 0.949
0.479 0.361 0.714
0.521 0.639 0.286
0.302 0.163 0.311
0.698 0.837 0.689
0.000 0.000 0.000

---

Entry 15:
Pr12Ni6Sb | Alexandria via LeMat-Bulk | PBE | optimized geometry; formation energy (no corrections) = -0.306 eV/atom; symmetry = Im-3, No. 204
1.0
-7.767 -0.782 -4.053
6.230 -3.911 -4.822
-0.421 -3.827 7.909
Ni Pr Sb
6 12 1
direct
0.121 0.621 0.500
0.500 0.121 0.621
0.621 0.500 0.121
0.379 0.500 0.879
0.500 0.879 0.379
0.879 0.379 0.500
0.186 0.692 0.878
0.692 0.506 0.814
0.814 0.308 0.122
0.878 0.186 0.692
0.692 0.878 0.186
0.186 0.308 0.494
0.506 0.814 0.692
0.814 0.692 0.506
0.494 0.186 0.308
0.122 0.814 0.308
0.308 0.494 0.186
0.308 0.122 0.814
0.000 0.000 0.000

---

Entry 16:
AsC2 | Alexandria via LeMat-Bulk | PBE | optimized geometry; E above lowest polymorph = 4.177 eV per formula unit; symmetry = P6_3/mmc, No. 194; energy relative to the elements = 5.2 eV/f.u.
1.0
3.966 0.000 0.000
-1.983 3.434 0.000
0.000 0.000 11.393
C As
8 4
direct
0.121 0.242 0.750
0.000 0.000 0.000
0.121 0.879 0.750
0.879 0.121 0.250
0.000 0.000 0.500
0.242 0.121 0.250
0.758 0.879 0.750
0.879 0.758 0.250
0.667 0.333 0.123
0.333 0.667 0.623
0.667 0.333 0.377
0.333 0.667 0.877

---

Entry 17:
BaTe2WI | Alexandria via LeMat-Bulk | PBE | optimized geometry; E above lowest polymorph = 0.000 eV per formula unit; formation energy (no corrections) = -0.226 eV/atom; symmetry = P4/mmm, No. 123
1.0
5.349 0.000 0.000
0.000 5.349 0.000
0.000 0.000 5.907
I W Te Ba
1 1 2 1
direct
0.000 0.000 0.500
0.000 0.000 0.000
0.500 0.000 0.000
0.000 0.500 0.000
0.500 0.500 0.500

---

Entry 18:
NbCoPt14 | Alexandria via LeMat-Bulk | PBE | optimized geometry; symmetry = P4/mmm, No. 123; energy relative to the elements = -3.3 eV/f.u.
1.0
5.619 -0.012 0.000
0.012 5.619 0.000
0.000 0.000 7.861
Nb Pt Co
1 14 1
direct
0.875 0.875 0.500
0.375 0.375 0.000
0.624 0.126 0.257
0.126 0.126 0.257
0.126 0.126 0.743
0.624 0.126 0.743
0.375 0.875 0.500
0.375 0.875 0.000
0.126 0.624 0.257
0.875 0.375 0.500
0.875 0.875 0.000
0.875 0.375 0.000
0.624 0.624 0.743
0.126 0.624 0.743
0.624 0.624 0.257
0.375 0.375 0.500

---

Entry 19:
SrTi3Au | Alexandria via LeMat-Bulk | PBE | optimized geometry; E above lowest polymorph = 6.047 eV per formula unit; symmetry = Pm-3m, No. 221; energy relative to the elements = 9.0 eV/f.u.
1.0
-1.701 -0.765 4.316
-3.954 -1.731 -1.865
1.892 -4.304 -0.017
Au Ti Sr
1 3 1
direct
0.500 0.500 0.500
0.000 0.000 0.500
0.000 0.500 0.000
0.500 0.000 0.000
0.000 0.000 0.000

---

Entry 20:
CaMgTcH2 | Alexandria via LeMat-Bulk | PBE | optimized geometry; E above lowest polymorph = 0.646 eV per formula unit; symmetry = Pm, No. 6
1.0
4.446 0.000 0.015
0.000 3.061 0.000
-2.096 0.000 5.183
H Mg Tc Ca
2 1 1 1
direct
0.970 0.000 0.152
0.423 0.500 0.646
0.715 0.500 0.299
0.287 0.000 0.450
0.024 0.500 0.861